Material: TiAl2Tl
Method: DFT, GGA-PBE
State: optimized geometry

Computed properties:
- Total magnetic moment: 0.00 μB per formula unit
- Formation energy from the elements: 0.366 eV per atom
- Fermi-level density of states: 7.60 states/eV per cell
- Total energy: -4.0705 eV/atom

Lattice parameters (Å, degrees): 7.598 7.598 6.083 51.36 51.36 90.00
Atoms (fractional coordinates):
Ti 0.500 0.500 0.000
Ti 0.250 0.750 0.500
Al 0.623 0.125 0.250
Al 0.127 0.625 0.250
Al 0.875 0.873 0.750
Al 0.375 0.377 0.750
Tl 0.000 0.000 0.000
Tl 0.750 0.250 0.500